# LaMgScAl GGA-PBE optimized geometry
data_LaMgScAl
_cell_length_a 7.347
_cell_length_b 7.347
_cell_length_c 7.347
_cell_angle_alpha 90.00
_cell_angle_beta 90.00
_cell_angle_gamma 90.00
_symmetry_space_group_name_H-M 'F -4 3 m'
_symmetry_Int_Tables_number 216
_symmetry_space_group_name_Hall 'F -4 2 3'
loop_
_atom_site_label
_atom_site_fract_x
_atom_site_fract_y
_atom_site_fract_z
La1 0.000 0.000 0.000
Mg1 0.250 0.250 0.250
Sc1 0.000 0.000 0.500
Al1 0.250 0.250 0.750
# Formation enthalpy at 0 K ... -23.3 kJ per mole of atoms

***

# Er3TlO6 GGA-PBE optimized geometry
data_Er3TlO6
_cell_length_a 8.868
_cell_length_b 11.161
_cell_length_c 5.616
_cell_angle_alpha 90.00
_cell_angle_beta 90.00
_cell_angle_gamma 90.00
_symmetry_space_group_name_H-M 'C m c 21'
_symmetry_Int_Tables_number 36
loop_
_symmetry_equiv_pos_as_xyz
'x,y,z'
'-x,-y,z+1/2'
'-x,y,z'
'x,-y,z+1/2'
'x+1/2,y+1/2,z'
'-x+1/2,-y+1/2,z+1/2'
'-x+1/2,y+1/2,z'
'x+1/2,-y+1/2,z+1/2'
loop_
_atom_site_label
_atom_site_fract_x
_atom_site_fract_y
_atom_site_fract_z
Er1 0.000 0.099 0.000
Er2 0.197 0.394 0.944
Tl1 0.000 0.318 0.436
O1 0.000 0.280 0.803
O2 0.000 0.478 0.199
O3 0.161 0.020 0.724
O4 0.170 0.230 0.208
# Energy above the lowest structure with this stoichiometry ... 14 meV/atom
# Formation energy without anion corrections ... -2848.1 meV/atom

***

# BaGeAsPd3 GGA-PBE optimized geometry
data_BaGeAsPd3
_cell_length_a 6.666
_cell_length_b 13.128
_cell_length_c 6.407
_cell_angle_alpha 90.00
_cell_angle_beta 90.00
_cell_angle_gamma 90.00
_symmetry_space_group_name_H-M 'C m c m'
_symmetry_Int_Tables_number 63
_symmetry_space_group_name_Hall '-C 2c 2'
loop_
_atom_site_label
_atom_site_fract_x
_atom_site_fract_y
_atom_site_fract_z
Ba1 0.000 0.247 0.250
Ge1 0.000 0.042 0.750
As1 0.000 0.407 0.750
Pd1 0.000 0.224 0.750
Pd2 0.220 0.500 0.000
# Formation enthalpy at 0 K ... -55.0 kJ per mole of atoms

***

# Pm3Mg2Tl3 GGA-PBE optimized geometry
data_Pm3Mg2Tl3
_cell_length_a 4.723
_cell_length_b 12.199
_cell_length_c 15.738
_cell_angle_alpha 90.00
_cell_angle_beta 90.00
_cell_angle_gamma 90.00
_symmetry_space_group_name_H-M 'C m c m'
_symmetry_Int_Tables_number 63
_symmetry_space_group_name_Hall '-C 2c 2'
loop_
_atom_site_label
_atom_site_fract_x
_atom_site_fract_y
_atom_site_fract_z
Pm1 0.000 0.066 0.119
Pm2 0.000 0.347 0.250
Mg1 0.000 0.227 0.585
Tl1 0.000 0.354 0.750
Tl2 0.000 0.397 0.051
# Formation enthalpy at 0 K ... -28.5 kJ per mole of atoms
# Energy above the lowest structure with this stoichiometry ... 0 meV/atom

***

# Y2Si4RuPt3 GGA-PBE optimized geometry
data_Y2Si4RuPt3
_cell_length_a 4.141
_cell_length_b 4.141
_cell_length_c 9.984
_cell_angle_alpha 90.00
_cell_angle_beta 90.00
_cell_angle_gamma 90.00
_symmetry_space_group_name_H-M 'P -4 m 2'
_symmetry_Int_Tables_number 115
loop_
_symmetry_equiv_pos_as_xyz
'x,y,z'
'y,-x,-z'
'-x,-y,z'
'-y,x,-z'
'-x,y,z'
'-y,-x,-z'
'x,-y,z'
'y,x,-z'
loop_
_atom_site_label
_atom_site_fract_x
_atom_site_fract_y
_atom_site_fract_z
Y1 0.000 0.500 0.247
Si1 0.000 0.000 0.000
Si2 0.000 0.500 0.630
Si3 0.500 0.500 0.000
Ru1 0.000 0.000 0.500
Pt1 0.000 0.500 0.872
Pt2 0.500 0.500 0.500
# Formation energy without anion corrections ... -1087.8 meV/atom

***

# NaSiAs GGA-PBE optimized geometry
data_NaSiAs
_cell_length_a 3.6971
_cell_length_b 3.6971
_cell_length_c 5.8669
_cell_angle_alpha 90.00
_cell_angle_beta 90.00
_cell_angle_gamma 120.00
_symmetry_space_group_name_H-M 'P 3 m 1'
_symmetry_Int_Tables_number 156
loop_
_symmetry_equiv_pos_as_xyz
'x,y,z'
'-y,x-y,z'
'-x+y,-x,z'
'-y,-x,z'
'-x+y,y,z'
'x,x-y,z'
loop_
_atom_site_label
_atom_site_fract_x
_atom_site_fract_y
_atom_site_fract_z
Na1 0.0000 0.0000 0.0000
Si1 0.6667 0.3333 0.5989
As1 0.3333 0.6667 0.3946
# Formation energy without anion corrections ... -196.4 meV/atom